# InHg3Bi, relaxed, DFT PBE
data_InHg3Bi
_cell_length_a 5.876
_cell_length_b 5.876
_cell_length_c 5.876
_cell_angle_alpha 90.00
_cell_angle_beta 90.00
_cell_angle_gamma 90.00
_space_group_name_H-M_alt 'P 1'
_space_group_IT_number 1
loop_
_space_group_symop_operation_xyz
'x,y,z'
loop_
_atom_site_label
_atom_site_fract_x
_atom_site_fract_y
_atom_site_fract_z
_atom_site_occupancy
Bi1 0.000 0.000 0.000 1
Hg1 0.000 0.500 0.000 1
In1 0.500 0.500 0.500 1
Hg2 0.500 0.000 0.000 1
Hg3 0.000 0.000 0.500 1
# total moment = 0.00 μB per cell
# ΔE_f = 0.325 eV per atom
# Fermi-level density of states = 4.0 states/eV per cell
# raw total energy = -1.18 eV/atom

---

# In6Hg2Bi, relaxed, DFT PBE
data_In6Hg2Bi
_cell_length_a 4.432
_cell_length_b 4.432
_cell_length_c 16.935
_cell_angle_alpha 90.00
_cell_angle_beta 90.00
_cell_angle_gamma 120.00
_space_group_name_H-M_alt 'P 1'
_space_group_IT_number 1
loop_
_space_group_symop_operation_xyz
'x,y,z'
loop_
_atom_site_label
_atom_site_fract_x
_atom_site_fract_y
_atom_site_fract_z
_atom_site_occupancy
In1 0.333 0.667 0.783 1
In2 0.333 0.667 0.588 1
Hg1 0.667 0.333 0.319 1
In3 0.333 0.667 0.217 1
In4 0.667 0.333 0.889 1
Hg2 0.667 0.333 0.681 1
Bi1 0.333 0.667 0.000 1
In5 0.333 0.667 0.412 1
In6 0.667 0.333 0.111 1
# total moment = 0.00 μB per cell
# ΔE_f = 0.117 eV per atom
# Fermi-level density of states = 4.5 states/eV per cell
# raw total energy = -2.21 eV/atom

---

# In3HgBi, relaxed, DFT PBE
data_In3HgBi
_cell_length_a 4.558
_cell_length_b 9.470
_cell_length_c 16.912
_cell_angle_alpha 151.50
_cell_angle_beta 84.99
_cell_angle_gamma 78.68
_space_group_name_H-M_alt 'P 1'
_space_group_IT_number 1
loop_
_space_group_symop_operation_xyz
'x,y,z'
loop_
_atom_site_label
_atom_site_fract_x
_atom_site_fract_y
_atom_site_fract_z
_atom_site_occupancy
In1 0.637 0.707 0.050 1
Bi1 0.557 0.881 0.339 1
In2 0.730 0.528 0.757 1
Hg1 0.951 0.096 0.151 1
Bi2 0.443 0.119 0.661 1
In3 0.363 0.293 0.950 1
In4 0.845 0.302 0.450 1
In5 0.270 0.472 0.243 1
Hg2 0.049 0.904 0.849 1
In6 0.155 0.698 0.550 1
# total moment = 0.00 μB per cell
# ΔE_f = 0.028 eV per atom
# Fermi-level density of states = 4.6 states/eV per cell
# raw total energy = -2.45 eV/atom

---

# In7Hg2Bi3, relaxed, DFT PBE
data_In7Hg2Bi3
_cell_length_a 3.421
_cell_length_b 6.535
_cell_length_c 16.344
_cell_angle_alpha 71.84
_cell_angle_beta 90.00
_cell_angle_gamma 90.00
_space_group_name_H-M_alt 'P 1'
_space_group_IT_number 1
loop_
_space_group_symop_operation_xyz
'x,y,z'
loop_
_atom_site_label
_atom_site_fract_x
_atom_site_fract_y
_atom_site_fract_z
_atom_site_occupancy
In1 0.500 0.244 0.502 1
In2 0.000 0.421 0.832 1
Bi1 0.000 0.855 0.669 1
In3 0.000 0.000 0.000 1
In4 0.500 0.050 0.171 1
In5 0.500 0.950 0.829 1
Bi2 0.500 0.500 0.000 1
Hg1 0.500 0.633 0.332 1
Bi3 0.000 0.145 0.331 1
In6 0.500 0.756 0.498 1
In7 0.000 0.579 0.168 1
Hg2 0.500 0.367 0.668 1
# total moment = 0.00 μB per cell
# ΔE_f = 0.035 eV per atom
# Fermi-level density of states = 5.7 states/eV per cell
# raw total energy = -2.58 eV/atom

---

# In5Hg2Bi, relaxed, DFT PBE
data_In5Hg2Bi
_cell_length_a 8.138
_cell_length_b 8.138
_cell_length_c 8.888
_cell_angle_alpha 117.25
_cell_angle_beta 117.25
_cell_angle_gamma 90.00
_space_group_name_H-M_alt 'P 1'
_space_group_IT_number 1
loop_
_space_group_symop_operation_xyz
'x,y,z'
loop_
_atom_site_label
_atom_site_fract_x
_atom_site_fract_y
_atom_site_fract_z
_atom_site_occupancy
In1 0.000 0.000 0.000 1
In2 0.305 0.805 0.313 1
In3 0.695 0.195 0.687 1
In4 0.008 0.508 0.313 1
In5 0.805 0.008 0.313 1
In6 0.195 0.992 0.687 1
Bi1 0.250 0.250 0.500 1
Bi2 0.750 0.750 0.500 1
Hg1 0.650 0.150 0.000 1
Hg2 0.850 0.650 0.000 1
In7 0.992 0.492 0.687 1
Hg3 0.150 0.350 0.000 1
In8 0.508 0.305 0.313 1
In9 0.492 0.695 0.687 1
In10 0.500 0.500 0.000 1
Hg4 0.350 0.850 0.000 1
# total moment = 0.00 μB per cell
# ΔE_f = 0.013 eV per atom
# Fermi-level density of states = 3.2 states/eV per cell
# raw total energy = -2.26 eV/atom

---

# In4Hg3Bi, relaxed, DFT PBE
data_In4Hg3Bi
_cell_length_a 4.456
_cell_length_b 5.213
_cell_length_c 9.457
_cell_angle_alpha 90.00
_cell_angle_beta 90.00
_cell_angle_gamma 90.00
_space_group_name_H-M_alt 'P 1'
_space_group_IT_number 1
loop_
_space_group_symop_operation_xyz
'x,y,z'
loop_
_atom_site_label
_atom_site_fract_x
_atom_site_fract_y
_atom_site_fract_z
_atom_site_occupancy
In1 0.000 0.500 0.255 1
In2 0.000 0.000 0.000 1
Hg1 0.500 0.000 0.749 1
In3 0.000 0.000 0.500 1
Bi1 0.500 0.500 0.000 1
Hg2 0.500 0.500 0.500 1
In4 0.000 0.500 0.745 1
Hg3 0.500 0.000 0.251 1
# total moment = 0.00 μB per cell
# ΔE_f = 0.018 eV per atom
# Fermi-level density of states = 3.5 states/eV per cell
# raw total energy = -1.95 eV/atom

---

# In2Hg2Bi, relaxed, DFT PBE
data_In2Hg2Bi
_cell_length_a 4.309
_cell_length_b 4.309
_cell_length_c 8.413
_cell_angle_alpha 75.16
_cell_angle_beta 75.16
_cell_angle_gamma 90.00
_space_group_name_H-M_alt 'P 1'
_space_group_IT_number 1
loop_
_space_group_symop_operation_xyz
'x,y,z'
loop_
_atom_site_label
_atom_site_fract_x
_atom_site_fract_y
_atom_site_fract_z
_atom_site_occupancy
Bi1 0.000 0.000 0.000 1
Hg1 0.750 0.250 0.500 1
Hg2 0.250 0.750 0.500 1
In1 0.402 0.402 0.196 1
In2 0.598 0.598 0.804 1
# total moment = 0.00 μB per cell
# ΔE_f = 0.082 eV per atom
# Fermi-level density of states = 2.1 states/eV per cell
# raw total energy = -1.91 eV/atom

---

# In3Hg8Bi2, relaxed, DFT PBE
data_In3Hg8Bi2
_cell_length_a 3.410
_cell_length_b 9.290
_cell_length_c 14.964
_cell_angle_alpha 52.81
_cell_angle_beta 86.28
_cell_angle_gamma 76.59
_space_group_name_H-M_alt 'P 1'
_space_group_IT_number 1
loop_
_space_group_symop_operation_xyz
'x,y,z'
loop_
_atom_site_label
_atom_site_fract_x
_atom_site_fract_y
_atom_site_fract_z
_atom_site_occupancy
In1 0.500 0.000 0.000 1
Hg1 0.010 0.866 0.220 1
Hg2 0.359 0.895 0.620 1
In2 0.153 0.242 0.158 1
In3 0.847 0.758 0.842 1
Hg3 0.932 0.488 0.290 1
Hg4 0.068 0.512 0.710 1
Hg5 0.353 0.628 0.066 1
Bi1 0.355 0.698 0.463 1
Hg6 0.990 0.134 0.780 1
Hg7 0.641 0.105 0.380 1
Bi2 0.645 0.302 0.537 1
Hg8 0.647 0.372 0.934 1
# total moment = 0.00 μB per cell
# ΔE_f = 0.026 eV per atom
# Fermi-level density of states = 3.8 states/eV per cell
# raw total energy = -1.39 eV/atom

---

# InHgBi, relaxed, DFT PBE
data_InHgBi
_cell_length_a 6.214
_cell_length_b 6.214
_cell_length_c 8.628
_cell_angle_alpha 68.89
_cell_angle_beta 68.89
_cell_angle_gamma 60.00
_space_group_name_H-M_alt 'P 1'
_space_group_IT_number 1
loop_
_space_group_symop_operation_xyz
'x,y,z'
loop_
_atom_site_label
_atom_site_fract_x
_atom_site_fract_y
_atom_site_fract_z
_atom_site_occupancy
Hg1 0.682 0.682 0.954 1
In1 0.115 0.785 0.629 1
Bi1 0.938 0.240 0.283 1
Hg2 0.358 0.358 0.927 1
Bi2 0.539 0.938 0.283 1
Hg3 0.020 0.020 0.939 1
In2 0.472 0.115 0.629 1
In3 0.785 0.472 0.629 1
Bi3 0.240 0.539 0.283 1
# total moment = 0.00 μB per cell
# ΔE_f = 0.059 eV per atom
# Fermi-level density of states = 3.1 states/eV per cell
# raw total energy = -2.25 eV/atom